Here is a relaxed TaSiI2 crystal from Alexandria via LeMat-Bulk. Energies are from PBE-GGA.

ΔE_f (raw)	479.2	meV per atom
N(E_F)	3.213	states/eV/cell
energy above the lowest structure with this stoichiometry	0.0000	eV/atom
total magnetization	0.255	μB per atom

a = 7.6295 Å, b = 7.6295 Å, c = 7.6295 Å
α = 96.25°, β = 96.25°, γ = 141.48°
Fractional coordinates of all 8 atoms:
Ta1 0.0000 0.0000 0.0000
Ta2 0.7500 0.2500 0.5000
Si1 0.2500 0.7500 0.5000
Si2 0.5000 0.5000 0.0000
I1 0.3750 0.2250 0.3500
I2 0.7750 0.1250 0.1500
I3 0.8750 0.0250 0.6500
I4 0.9750 0.6250 0.8500

=====

Here is a relaxed PmPrPd crystal from Alexandria via LeMat-Bulk. Energies are from PBE-GGA.

formation energy from the elements	-446	meV/atom
N(E_F)	6.891	states/eV/cell
energy above the lowest structure with this stoichiometry	0.0228	eV/atom
total magnetization	0.283	μB per atom

a = 3.6903 Å, b = 6.7120 Å, c = 7.3854 Å
α = 105.91°, β = 90.08°, γ = 105.95°
Fractional coordinates of all 6 atoms:
Pm1 0.1408 0.2814 0.0712
Pm2 0.8592 0.7186 0.9288
Pr1 0.1383 0.2764 0.5685
Pr2 0.8617 0.7236 0.4315
Pd1 0.5004 0.0011 0.7664
Pd2 0.4996 0.9989 0.2336

=====

Q: Which of these has the highest N(E_F)?
A: PmPrPd